Record 1
{"formula": "InHgPb", "functional": "meta-GGA SCAN", "state": "PBEsol geometry", "formation_energy_ev_per_atom": 0.05, "e_above_lowest_polymorph_mev_per_atom": 13.8, "lattice_angstrom": [[3.332, -0.008, 0.000], [-1.285, 3.074, 0.000], [-1.024, -1.533, 7.687]], "species": ["Hg", "Pb", "In"], "fractional_positions": [[0.004, 0.004, 0.008], [0.337, 0.337, 0.673], [0.659, 0.659, 0.319]]}

---

Record 2
{"formula": "In2HgPb", "functional": "meta-GGA SCAN", "state": "PBEsol geometry", "formation_energy_ev_per_atom": 0.06, "lattice_angstrom": [[-3.545, -3.787, 0.943], [-0.680, -3.901, -3.481], [1.607, -4.884, 1.167]], "species": ["Pb", "Hg", "In", "In"], "fractional_positions": [[0.250, 0.250, 0.250], [0.500, 0.500, 0.500], [0.750, 0.750, 0.750], [0.000, 0.000, 0.000]]}

---

Record 3
{"formula": "In2HgPb", "functional": "meta-GGA SCAN", "state": "PBEsol geometry", "formation_energy_ev_per_atom": 0.06, "lattice_angstrom": [[3.685, 0.000, 0.000], [0.000, 3.685, 0.000], [0.000, 0.000, 7.600]], "species": ["In", "Hg", "Pb", "In"], "fractional_positions": [[0.500, 0.500, 0.235], [0.500, 0.500, 0.767], [0.000, 0.000, 0.509], [0.000, 0.000, 0.988]]}

---

Record 4
{"formula": "InHg2Pb", "functional": "meta-GGA SCAN", "state": "PBEsol geometry", "formation_energy_ev_per_atom": 0.02, "lattice_angstrom": [[3.586, 0.000, 0.000], [1.793, 3.106, 0.000], [1.793, 1.035, 9.219]], "species": ["Hg", "In", "Hg", "Pb"], "fractional_positions": [[0.246, 0.246, 0.262], [0.500, 0.500, 0.500], [0.754, 0.754, 0.738], [0.000, 0.000, 0.000]]}

---

Record 5
{"formula": "In2HgPb", "functional": "meta-GGA SCAN", "state": "PBEsol geometry", "formation_energy_ev_per_atom": 0.06, "lattice_angstrom": [[-4.420, -1.660, -4.037], [1.396, -4.882, -4.301], [-4.234, -4.798, 1.828]], "species": ["Hg", "Pb", "In", "Hg", "In", "In", "In", "Pb"], "fractional_positions": [[0.250, 0.500, 0.500], [0.000, 0.000, 0.000], [0.375, 0.481, 0.019], [0.500, 0.000, 0.000], [0.144, 0.981, 0.481], [0.875, 0.519, 0.981], [0.606, 0.019, 0.519], [0.750, 0.500, 0.500]]}

---

Record 6
{"formula": "In2HgPb", "functional": "meta-GGA SCAN", "state": "PBEsol geometry", "formation_energy_ev_per_atom": 0.06, "lattice_angstrom": [[3.277, 0.000, -0.166], [0.000, 5.073, 0.000], [-1.410, 0.000, 6.327]], "species": ["Hg", "In", "In", "Pb"], "fractional_positions": [[0.066, 0.500, 0.741], [0.189, 0.000, 0.005], [0.800, 0.500, 0.231], [0.445, 0.000, 0.523]]}

---

Record 7
{"formula": "InHg2Pb", "functional": "meta-GGA SCAN", "state": "PBEsol geometry", "formation_energy_ev_per_atom": 0.06, "lattice_angstrom": [[4.461, 0.000, 0.000], [0.000, 4.461, 0.000], [-2.230, -2.230, 5.029]], "species": ["In", "Pb", "Hg", "Hg"], "fractional_positions": [[0.500, 0.500, 0.000], [0.250, 0.750, 0.500], [0.750, 0.250, 0.500], [0.000, 0.000, 0.000]]}

---

Record 8
{"formula": "In2HgPb", "functional": "meta-GGA SCAN", "state": "PBEsol geometry", "formation_energy_ev_per_atom": 0.06, "lattice_angstrom": [[-4.298, 0.532, 2.038], [-2.106, -1.187, -4.132], [3.246, -3.983, 2.263]], "species": ["In", "Hg", "In", "Pb"], "fractional_positions": [[0.750, 0.250, 0.500], [0.250, 0.750, 0.500], [0.000, 0.000, 0.000], [0.500, 0.500, 0.000]]}

---

Record 9
{"formula": "InHgPb", "functional": "meta-GGA SCAN", "state": "PBEsol geometry", "formation_energy_ev_per_atom": 0.08, "e_above_lowest_polymorph_mev_per_atom": 42.4, "lattice_angstrom": [[-1.743, -3.656, -2.869], [1.504, -4.671, 0.745], [-3.143, -3.349, 1.882]], "species": ["Hg", "Pb", "In"], "fractional_positions": [[0.500, 0.500, 0.500], [0.000, 0.000, 0.000], [0.250, 0.250, 0.250]]}

---

Record 10
{"formula": "InHg2Pb", "functional": "meta-GGA SCAN", "state": "PBEsol geometry", "formation_energy_ev_per_atom": 0.03, "lattice_angstrom": [[-0.214, -2.754, 2.051], [5.149, -0.151, 0.334], [0.641, 4.824, 3.658]], "species": ["Hg", "In", "Pb", "Hg"], "fractional_positions": [[0.979, 0.915, 0.959], [0.511, 0.411, 0.022], [0.240, 0.839, 0.480], [0.770, 0.336, 0.539]]}

---

Record 11
{"formula": "InHg2Pb", "functional": "meta-GGA SCAN", "state": "PBEsol geometry", "formation_energy_ev_per_atom": 0.05, "lattice_angstrom": [[-2.838, 0.795, 1.537], [-2.357, -3.996, -3.964], [3.352, -2.155, 4.551]], "species": ["In", "Hg", "Hg", "Pb"], "fractional_positions": [[0.000, 0.500, 0.000], [0.500, 0.500, 0.500], [0.000, 0.000, 0.500], [0.500, 0.000, 0.000]]}

---

Record 12
{"formula": "In2HgPb", "functional": "meta-GGA SCAN", "state": "PBEsol geometry", "formation_energy_ev_per_atom": 0.05, "lattice_angstrom": [[3.280, -0.029, 0.000], [-1.341, 2.993, 0.000], [0.000, 0.000, 10.637]], "species": ["In", "In", "Pb", "Hg"], "fractional_positions": [[0.000, 0.000, 0.764], [0.000, 0.000, 0.236], [0.500, 0.500, 0.500], [0.500, 0.500, 0.000]]}